Entry from the Alexandria database: crystalline Sr3Ca at its relaxed geometry (GGA-PBE).

Output
Space-group type: P1
DFT total energy in eV per atom: -1.747
Total magnetic moment in μB per atom: 0.0000

Cell: 8.0441 8.0173 8.0260 Å, 149.80 126.70 62.54°
With the nearest neighbours (Å) after each atom.
Fractional positions:
Sr 0.5025 0.4999 0.0026  4 Ca 4.15-4.19, 8 Sr 4.16-4.24
Sr 0.9194 0.2540 0.6656  3 Ca 4.14-4.23, 9 Sr 4.17-4.24
Sr 0.4116 0.7461 0.6656  3 Ca 4.15-4.24, 9 Sr 4.16-4.23
Ca 0.9997 0.0000 0.9998  10 Sr 4.14-4.24, 2 Ca 4.18


Entry from the Alexandria database: crystalline Sr3Ca at its relaxed geometry (GGA-PBE).

Output
Space-group type: P4/mmm
DFT total energy in eV per atom: -1.742
Total magnetic moment in μB per atom: 0.0000

Cell: 6.5599 6.5599 4.6873 Å, 90.00 90.00 90.00°
With the nearest neighbours (Å) after each atom.
Fractional positions:
Sr 0.5000 0.0000 0.5000  4 Sr 4.03, 4 Ca 4.03
Sr 0.5000 0.5000 0.0000  8 Sr 4.03
Sr 0.0000 0.5000 0.5000  4 Sr 4.03, 4 Ca 4.03
Ca 0.0000 0.0000 0.0000  8 Sr 4.03


Entry from the Alexandria database: crystalline Sr2Ca at its relaxed geometry (GGA-PBE).

Output
Space-group type: I4/mmm
Polymorph energy (0 for the lowest one) in eV/atom: 0.000
DFT total energy in eV per atom: -1.776
Total magnetic moment in μB per atom: 0.0002

Cell: 9.1731 9.1731 9.1731 Å, 153.75 153.75 37.46°
With the nearest neighbours (Å) after each atom.
Fractional positions:
Sr 0.8387 0.8387 0.0000  4 Ca 4.07, 8 Sr 4.17-4.26
Sr 0.1613 0.1613 0.0000  4 Ca 4.07, 8 Sr 4.17-4.26
Ca 0.5000 0.5000 0.0000  8 Sr 4.07, 4 Ca 4.17